No. 1
! TmPaPb2 (PBE, optimized geometry); values from VASP
! DFT formation energy in meV/atom: -117
! Calculated volume in Å³ per atom: 27.454
! Calculated density in g cm⁻³: 12.314
! Space group: No. 123
! Total moment in μB per formula unit: 0.87
! N(E_F) in states/eV per cell: 5.5
! Relative energy among the computed polymorphs in meV/atom: 0.0
&SYSTEM
  ibrav = 0, nat = 4, ntyp = 3
/
ATOMIC_SPECIES
Pb 207.20 Pb.upf
Pa 231.04 Pa.upf
Tm 168.93 Tm.upf
CELL_PARAMETERS angstrom
-1.9025 1.1022 2.4628
1.3866 -4.6320 3.1441
4.5049 2.8461 2.2063
ATOMIC_POSITIONS crystal
Pb 0.0000 0.0000 0.5000
Pb 0.0000 0.5000 0.0000
Pa 0.5000 0.5000 0.5000
Tm 0.5000 0.0000 0.0000

No. 2
! K2LiPu2S6 (PBE, optimized geometry); values from VASP
! Calculated volume in Å³ per atom: 27.489
! Calculated density in g cm⁻³: 4.204
! Space group: No. 12
! Total moment in μB per formula unit: 7.00
! N(E_F) in states/eV per cell: 12.9
! Energy relative to the elements, uncorrected in eV per atom: -1.3341
&SYSTEM
  ibrav = 0, nat = 11, ntyp = 4
/
ATOMIC_SPECIES
K 39.10 K.upf
Li 6.94 Li.upf
Pu 244.00 Pu.upf
S 32.06 S.upf
CELL_PARAMETERS angstrom
-3.6945 -4.4198 3.7567
3.6953 -2.1936 -5.3693
5.8419 0.9712 4.9674
ATOMIC_POSITIONS crystal
K 0.8410 0.1590 0.0000
K 0.1590 0.8410 0.0000
Li 0.0000 0.0000 0.5000
Pu 0.3346 0.6654 0.5000
Pu 0.6654 0.3346 0.5000
S 0.7138 0.7138 0.6890
S 0.0565 0.4109 0.6913
S 0.2862 0.2862 0.3110
S 0.4109 0.0565 0.6913
S 0.9435 0.5891 0.3087
S 0.5891 0.9435 0.3087

No. 3
! PmYP2 (PBE, optimized geometry); values from VASP
! DFT formation energy in meV/atom: -1590
! Calculated volume in Å³ per atom: 23.902
! Calculated density in g cm⁻³: 5.139
! Space group: No. 141
! Total moment in μB per formula unit: 0.00
! N(E_F) in states/eV per cell: 0.9
! Relative energy among the computed polymorphs in meV/atom: 2.9
&SYSTEM
  ibrav = 0, nat = 8, ntyp = 3
/
ATOMIC_SPECIES
Pm 145.00 Pm.upf
Y 88.91 Y.upf
P 30.97 P.upf
CELL_PARAMETERS angstrom
5.3075 0.0000 -2.2415
-0.9466 5.2224 -2.2415
-0.1489 -0.1784 7.0517
ATOMIC_POSITIONS crystal
Pm 0.7500 0.2500 0.5000
Pm 0.0000 0.0000 0.0000
Y 0.5000 0.5000 0.0000
Y 0.2500 0.7500 0.5000
P 0.7473 0.7473 0.4946
P 0.4973 0.9973 0.9946
P 0.2527 0.2527 0.5054
P 0.0027 0.5027 0.0054

No. 4
! Ca2CoSi (PBE, optimized geometry); values from VASP
! Calculated volume in Å³ per atom: 28.760
! Calculated density in g cm⁻³: 2.413
! Space group: No. 122
! Total moment in μB per formula unit: 0.00
! N(E_F) in states/eV per cell: 4.5
! Energy relative to the elements, uncorrected in eV per atom: -0.1076
&SYSTEM
  ibrav = 0, nat = 8, ntyp = 3
/
ATOMIC_SPECIES
Ca 40.08 Ca.upf
Co 58.93 Co.upf
Si 28.09 Si.upf
CELL_PARAMETERS angstrom
10.3134 0.0000 0.0000
0.0000 10.3134 0.0000
5.1567 5.1567 2.1631
ATOMIC_POSITIONS crystal
Ca 0.8096 0.1250 0.2500
Ca 0.9404 0.6250 0.2500
Ca 0.3750 0.1904 0.7500
Ca 0.8750 0.0596 0.7500
Co 0.0000 0.0000 0.0000
Co 0.7500 0.2500 0.5000
Si 0.5000 0.5000 0.0000
Si 0.2500 0.7500 0.5000

No. 5
! Ac6Sm4Dy (PBE, optimized geometry); values from VASP
! DFT formation energy in meV/atom: 319
! Calculated volume in Å³ per atom: 41.984
! Calculated density in g cm⁻³: 7.644
! Space group: No. 121
! Total moment in μB per formula unit: 0.00
! N(E_F) in states/eV per cell: 17.9
&SYSTEM
  ibrav = 0, nat = 11, ntyp = 3
/
ATOMIC_SPECIES
Ac 227.00 Ac.upf
Sm 150.36 Sm.upf
Dy 162.50 Dy.upf
CELL_PARAMETERS angstrom
-8.5552 2.0135 -5.9132
3.3165 -6.2663 7.8705
5.1017 3.4803 8.6065
ATOMIC_POSITIONS crystal
Ac 0.0000 0.8318 0.4659
Ac 0.0000 0.4659 0.8318
Ac 0.3660 0.5341 0.5341
Ac 0.5000 0.5000 0.0000
Ac 0.6340 0.1682 0.1682
Ac 0.5000 0.0000 0.5000
Sm 0.0000 0.6554 0.0198
Sm 0.3645 0.3446 0.3446
Sm 0.0000 0.0198 0.6554
Sm 0.6355 0.9802 0.9802
Dy 0.0000 0.0000 0.0000

No. 6
! CrIn3Fe (PBE, optimized geometry); values from VASP
! DFT formation energy in meV/atom: 973
! Calculated volume in Å³ per atom: 26.782
! Calculated density in g cm⁻³: 5.609
! Space group: No. 221
! Total moment in μB per formula unit: 6.50
! N(E_F) in states/eV per cell: 8.8
! Relative energy among the computed polymorphs in meV/atom: 0.0
&SYSTEM
  ibrav = 0, nat = 5, ntyp = 3
/
ATOMIC_SPECIES
Cr 52.00 Cr.upf
Fe 55.84 Fe.upf
In 114.82 In.upf
CELL_PARAMETERS angstrom
-2.8550 2.7745 3.2133
-2.8576 -4.1197 1.0182
3.1396 -1.2266 3.8487
ATOMIC_POSITIONS crystal
Cr 0.0000 0.0000 0.0000
Fe 0.5000 0.5000 0.5000
In 0.0000 0.5000 0.0000
In 0.0000 0.0000 0.5000
In 0.5000 0.0000 0.0000